No. 1
Zn2TcSe | GGA-PBEsol | relaxed

Values from the calculation:
Energy above the most stable polymorph in this dataset ... 182 meV per atom
Symmetry ... P4/mmm (123)
Raw total energy ... -4.299 eV per atom
Raw formation energy ... 272 meV per atom

```
Zn2TcSe
1.0
2.721 0.000 0.000
0.000 2.721 0.000
0.000 0.000 8.696
Zn Tc Se
2 1 1
direct
0.000 0.000 0.213
0.000 0.000 0.787
0.500 0.500 0.000
0.500 0.500 0.500
```

No. 2
KZr2Ru | GGA-PBEsol | relaxed

Values from the calculation:
Energy above the most stable polymorph in this dataset ... 0 meV per atom
Symmetry ... Pmm2 (25)
Raw total energy ... -7.028 eV per atom
Formation energy ... 343 meV per atom

```
KZr2Ru
1.0
3.252 0.000 0.000
0.000 4.030 0.000
0.000 0.000 8.294
K Zr Ru
1 2 1
direct
0.000 0.000 0.000
0.000 0.000 0.415
0.500 0.500 0.631
0.500 0.500 0.337
```

No. 3
Hf3TlF | GGA-PBEsol | relaxed

Values from the calculation:
Symmetry ... Pm-3m (221)
Raw total energy ... -5.754 eV per atom
Raw formation energy ... 1459 meV per atom

```
Hf3TlF
1.0
5.277 0.000 0.000
0.000 5.277 0.000
0.000 0.000 5.277
Hf Tl F
3 1 1
direct
0.000 0.000 0.500
0.000 0.500 0.000
0.500 0.000 0.000
0.000 0.000 0.000
0.500 0.500 0.500
```

No. 4
ZnHgS3 | GGA-PBEsol | relaxed

Values from the calculation:
Symmetry ... Pm-3m (221)
Raw total energy ... -2.151 eV per atom
Raw formation energy ... 909 meV per atom

```
ZnHgS3
1.0
4.895 0.000 0.000
0.000 4.895 0.000
0.000 0.000 4.895
Zn Hg S
1 1 3
direct
0.000 0.000 0.000
0.500 0.500 0.500
0.000 0.500 0.500
0.500 0.000 0.500
0.500 0.500 0.000
```